1.
Ta2NbMo2 after structural relaxation. Source: the Alexandria database, functional PBE-GGA.

abc: 5.3935 5.3935 8.0908
angles: 105.69 105.69 49.81
Atoms (fractional coordinates):
Ta: 0.0525 0.0525 0.3489
Ta: 0.1520 0.1520 0.0423
Ta: 0.8480 0.8480 0.9577
Ta: 0.9475 0.9475 0.6511
Nb: 0.2520 0.2520 0.7405
Nb: 0.7480 0.7480 0.2595
Mo: 0.3523 0.3523 0.4467
Mo: 0.4498 0.4498 0.1500
Mo: 0.5502 0.5502 0.8500
Mo: 0.6477 0.6477 0.5533

Results
**Crystal system**: monoclinic
**Energy of formation from the pure elements**: -3.1 kcal/mol of atoms
**M_tot**: 0.00 μB per cell
**Volume**: 172 Å³/cell

***

2.
Er2ScNi after structural relaxation. Source: the Alexandria database, functional PBE-GGA.

abc: 10.5634 10.5634 10.5634
angles: 17.98 17.98 17.98
Atoms (fractional coordinates):
Er: 0.0798 0.0798 0.0798
Er: 0.9202 0.9202 0.9202
Sc: 0.5000 0.5000 0.5000
Ni: 0.0000 0.0000 0.0000

Results
**Crystal system**: trigonal
**Energy of formation from the pure elements**: 8.4 kcal/mol of atoms
**M_tot**: 0.00 μB per cell
**Volume**: 98 Å³/cell

***

3.
CsZr2AsW after structural relaxation. Source: the Alexandria database, functional PBE-GGA.

abc: 5.3017 5.3017 5.0122
angles: 90.00 90.00 90.00
Atoms (fractional coordinates):
Cs: 0.0000 0.0000 0.0000
Zr: 0.0000 0.5000 0.5000
Zr: 0.5000 0.0000 0.5000
As: 0.5000 0.5000 0.0000
W: 0.5000 0.5000 0.5000

Results
**Crystal system**: tetragonal
**Energy of formation from the pure elements**: 17.7 kcal/mol of atoms
**M_tot**: 0.00 μB per cell
**Volume**: 141 Å³/cell

***

4.
Hf4Zr3In after structural relaxation. Source: the Alexandria database, functional PBE-GGA.

abc: 6.6754 6.6754 6.6754
angles: 126.58 78.25 127.42
Atoms (fractional coordinates):
Hf: 0.2461 0.0000 0.2461
Hf: 0.2491 0.5034 0.2543
Hf: 0.2491 0.9948 0.7457
Hf: 0.7539 0.0000 0.7539
Zr: 0.2546 0.4940 0.7607
Zr: 0.7333 0.4940 0.2393
Zr: 0.7447 0.2447 0.5000
In: 0.7577 0.7577 0.0000

Results
**Crystal system**: orthorhombic
**Energy of formation from the pure elements**: 3.0 kcal/mol of atoms
**M_tot**: 0.00 μB per cell
**Volume**: 184 Å³/cell

***

5.
La2B2Os2C after structural relaxation. Source: the Alexandria database, functional PBE-GGA.

abc: 5.8585 5.8585 6.9426
angles: 123.32 123.32 38.13
Atoms (fractional coordinates):
La: 0.0672 0.0672 0.3253
La: 0.9328 0.9328 0.6747
B: 0.2954 0.2954 0.2219
B: 0.7046 0.7046 0.7781
Os: 0.3006 0.3006 0.9099
Os: 0.6994 0.6994 0.0901
C: 0.5000 0.5000 0.0000

Results
**Crystal system**: monoclinic
**Energy of formation from the pure elements**: -9.0 kcal/mol of atoms
**M_tot**: 0.00 μB per cell
**Volume**: 120 Å³/cell

***

6.
Mo2HIrPt after structural relaxation. Source: the Alexandria database, functional PBE-GGA.

abc: 3.9291 3.9291 4.0880
angles: 90.00 90.00 90.00
Atoms (fractional coordinates):
Mo: 0.0000 0.5000 0.0000
Mo: 0.5000 0.0000 0.0000
H: 0.0000 0.0000 0.0000
Ir: 0.5000 0.5000 0.5000
Pt: 0.0000 0.0000 0.5000

Results
**Crystal system**: tetragonal
**Total energy**: -40.47 eV for the cell shown
**M_tot**: 0.00 μB per cell
**Volume**: 63 Å³/cell

***

7.
MgPa4O10 after structural relaxation. Source: the Alexandria database, functional PBE-GGA.

abc: 6.6004 6.6004 6.6004
angles: 99.57 99.57 131.87
Atoms (fractional coordinates):
Mg: 0.0000 0.0000 0.0000
Pa: 0.2042 0.6021 0.8064
Pa: 0.3979 0.2042 0.6021
Pa: 0.6021 0.7958 0.3979
Pa: 0.7958 0.3979 0.1936
O: 0.0501 0.1517 0.6978
O: 0.1517 0.4540 0.1016
O: 0.2500 0.7500 0.5000
O: 0.3524 0.0501 0.8984
O: 0.4540 0.3524 0.3022
O: 0.5460 0.6476 0.6978
O: 0.6476 0.9499 0.1016
O: 0.7500 0.2500 0.5000
O: 0.8483 0.5460 0.8984
O: 0.9499 0.8483 0.3022

Results
**Crystal system**: tetragonal
**M_tot**: 2.06 μB per cell
**Volume**: 196 Å³/cell
**Uncorrected formation energy**: -3484 meV/atom

***

8.
UCu3Pd12 after structural relaxation. Source: the Alexandria database, functional PBE-GGA.

abc: 4.0046 4.0046 15.4098
angles: 90.00 90.00 90.00
Atoms (fractional coordinates):
U: 0.0000 0.0000 0.0000
Cu: 0.0000 0.0000 0.2604
Cu: 0.0000 0.0000 0.5000
Cu: 0.0000 0.0000 0.7396
Pd: 0.0000 0.5000 0.1319
Pd: 0.0000 0.5000 0.3798
Pd: 0.0000 0.5000 0.6202
Pd: 0.0000 0.5000 0.8681
Pd: 0.5000 0.0000 0.1319
Pd: 0.5000 0.0000 0.3798
Pd: 0.5000 0.0000 0.6202
Pd: 0.5000 0.0000 0.8681
Pd: 0.5000 0.5000 0.0000
Pd: 0.5000 0.5000 0.2575
Pd: 0.5000 0.5000 0.5000
Pd: 0.5000 0.5000 0.7425

Results
**Crystal system**: tetragonal
**Energy of formation from the pure elements**: -4.4 kcal/mol of atoms
**M_tot**: 1.09 μB per cell
**Volume**: 247 Å³/cell

***

9.
KHgIr after structural relaxation. Source: the Alexandria database, functional PBE-GGA.

abc: 2.9940 2.9940 8.1408
angles: 90.00 90.00 120.00
Atoms (fractional coordinates):
K: 0.0000 0.0000 0.0000
Hg: 0.6667 0.3333 0.3777
Ir: 0.3333 0.6667 0.6722

Results
**Crystal system**: trigonal
**Energy of formation from the pure elements**: 15.4 kcal/mol of atoms
**M_tot**: 0.17 μB per cell
**Volume**: 63 Å³/cell

***

10.
Ac5Zn2In5 after structural relaxation. Source: the Alexandria database, functional PBE-GGA.

abc: 8.9586 8.9586 11.0635
angles: 127.19 127.19 33.19
Atoms (fractional coordinates):
Ac: 0.0000 0.0000 0.0000
Ac: 0.1330 0.1330 0.4392
Ac: 0.1650 0.1650 0.8320
Ac: 0.8350 0.8350 0.1680
Ac: 0.8670 0.8670 0.5608
Zn: 0.3469 0.3469 0.7901
Zn: 0.6531 0.6531 0.2099
In: 0.2562 0.2562 0.2691
In: 0.4692 0.4692 0.1721
In: 0.5000 0.5000 0.5000
In: 0.5308 0.5308 0.8279
In: 0.7438 0.7438 0.7309

Results
**Crystal system**: monoclinic
**Energy of formation from the pure elements**: -8.7 kcal/mol of atoms
**M_tot**: 0.00 μB per cell
**Volume**: 377 Å³/cell

***

| no. | DOS(E_F) (states/eV/cell) |
| --- | --- |
| 1 | 7.958 |
| 2 | 3.998 |
| 3 | 6.603 |
| 4 | 11.405 |
| 5 | 3.980 |
| 6 | 3.092 |
| 7 | 9.695 |
| 8 | 18.978 |
| 9 | 3.482 |
| 10 | 8.180 |